#1
# TbTlCu3S4

A relaxed TbTlCu3S4 crystal (PBE, OQMD via LeMat-Bulk).

```
TbTlCu3S4
1.0
-5.098 3.115 0.027
-2.843 -4.674 2.401
1.273 2.036 5.471
Cu S Tb Tl
3 4 1 1
Direct
0.500 0.500 0.000
0.500 0.000 0.500
0.000 0.500 0.500
0.258 0.258 0.258
0.742 0.742 0.258
0.742 0.258 0.742
0.258 0.742 0.742
0.500 0.500 0.500
0.000 0.000 0.000
```



#2
# TbTlCu3S4

A relaxed TbTlCu3S4 crystal (PBE, OQMD via LeMat-Bulk).

```
TbTlCu3S4
1.0
5.863 0.000 0.000
0.000 6.969 0.000
-2.050 0.000 9.649
Cu S Tb Tl
6 8 2 2
Direct
0.293 0.560 0.024
0.293 0.940 0.024
0.437 0.750 0.276
0.563 0.250 0.724
0.707 0.060 0.976
0.707 0.440 0.976
0.028 0.250 0.059
0.593 0.018 0.201
0.593 0.482 0.201
0.218 0.750 0.433
0.782 0.250 0.567
0.407 0.518 0.799
0.407 0.982 0.799
0.972 0.750 0.941
0.909 0.750 0.201
0.091 0.250 0.799
0.247 0.250 0.405
0.753 0.750 0.595
```



#2 is preferred energetically. Next in line: 0.188 eV/atom higher.



#1
# TlCuTcS3

A relaxed TlCuTcS3 crystal (PBE, OQMD via LeMat-Bulk).

```
TlCuTcS3
1.0
7.619 0.000 0.000
0.000 3.614 0.000
-3.741 0.000 8.818
Cu S Tc Tl
2 6 2 2
Direct
0.925 0.750 0.388
0.075 0.250 0.612
0.464 0.750 0.111
0.892 0.750 0.145
0.756 0.250 0.432
0.244 0.750 0.568
0.108 0.250 0.855
0.536 0.250 0.889
0.694 0.250 0.168
0.306 0.750 0.832
0.279 0.250 0.284
0.721 0.750 0.716
```



#2
# TlCuTcS3

A relaxed TlCuTcS3 crystal (PBE, OQMD via LeMat-Bulk).

```
TlCuTcS3
1.0
7.184 -1.766 0.000
7.184 1.766 0.000
0.000 0.000 9.339
Cu S Tc Tl
2 6 2 2
Direct
0.461 0.461 0.250
0.539 0.539 0.750
0.383 0.383 0.040
0.063 0.063 0.250
0.383 0.383 0.460
0.617 0.617 0.540
0.937 0.937 0.750
0.617 0.617 0.960
0.000 0.000 0.000
0.000 0.000 0.500
0.746 0.746 0.250
0.254 0.254 0.750
```



#1 is preferred energetically. Next in line: 0.048 eV/atom higher.